Material: TlPN2O
Method: DFT, PBE
State: optimized geometry

Results
ΔE_f (raw) = 0.51 eV per atom
Space-group type = P4/mmm

The structure in POSCAR format:
```
TlPN2O
1.0
3.7936 0.0000 0.0000
0.0000 3.7936 0.0000
0.0000 0.0000 3.4613
Tl P N O
1 1 2 1
Cartesian
0.0000 0.0000 0.0000
1.8968 1.8968 1.7307
0.0000 1.8968 1.7307
1.8968 0.0000 1.7307
1.8968 1.8968 0.0000
```